Model 1:
Crystalline CrCdFe at its relaxed geometry. Source: Alexandria via LeMat-Bulk, functional GGA-PBE.

Cell and atoms, written as POSCAR:
```
CrCdFe
1.0
5.801 -0.003 0.000
4.431 3.744 0.000
-5.116 -1.871 1.995
Fe Cd Cr
1 1 1
direct
0.692 0.692 0.000
0.003 0.003 0.000
0.305 0.305 0.000
```

Results
total magnetic moment	0.0	μB per cell
crystal system	tetragonal

Model 2:
Crystalline CrCdFe at its relaxed geometry. Source: Alexandria via LeMat-Bulk, functional GGA-PBE.

Cell and atoms, written as POSCAR:
```
CrCdFe
1.0
6.919 0.006 -0.005
6.232 2.572 -0.002
0.686 -0.758 2.451
Fe Cd Cr
1 1 1
direct
0.682 0.682 0.318
0.001 0.001 0.999
0.317 0.317 0.683
```

Results
total magnetic moment	1.9	μB per cell
crystal system	orthorhombic

Short version: model 1 is the most stable of them.

Model 1:
Crystalline Cr2CdGaN at its relaxed geometry. Source: Alexandria via LeMat-Bulk, functional GGA-PBE.

Cell and atoms, written as POSCAR:
```
Cr2CdGaN
1.0
4.827 0.000 0.000
0.000 4.910 0.000
0.000 0.000 4.827
Ga Cd Cr N
1 1 2 1
direct
0.000 0.000 0.000
0.000 0.500 0.000
0.000 0.000 0.500
0.500 0.000 0.000
0.500 0.500 0.500
```

Results
total magnetic moment	6.3	μB per cell
crystal system	tetragonal

Model 2:
Crystalline Cr2CdGaN at its relaxed geometry. Source: Alexandria via LeMat-Bulk, functional GGA-PBE.

Cell and atoms, written as POSCAR:
```
Cr2CdGaN
1.0
3.957 0.000 0.000
0.000 4.693 0.000
0.000 0.000 3.957
Ga Cr N Cd
1 2 1 1
direct
0.500 0.500 0.500
0.500 0.000 0.000
0.000 0.000 0.500
0.000 0.000 0.000
0.000 0.500 0.000
```

Results
total magnetic moment	5.0	μB per cell
crystal system	tetragonal

Short version: model 2 is the most stable of them.

Model 1:
Crystalline Cr3CdGe at its relaxed geometry. Source: Alexandria via LeMat-Bulk, functional GGA-PBE.

Cell and atoms, written as POSCAR:
```
Cr3CdGe
1.0
5.041 0.000 0.000
0.000 5.041 0.000
0.000 0.000 5.041
Ge Cr Cd
1 3 1
direct
0.500 0.500 0.500
0.000 0.000 0.500
0.500 0.000 0.000
0.000 0.500 0.000
0.000 0.000 0.000
```

Results
total magnetic moment	12.9	μB per cell
crystal system	cubic

Model 2:
Crystalline Cr3CdGe at its relaxed geometry. Source: Alexandria via LeMat-Bulk, functional GGA-PBE.

Cell and atoms, written as POSCAR:
```
Cr3CdGe
1.0
4.714 0.000 0.000
0.000 4.714 0.000
0.000 0.000 4.714
Cr Cd Ge
3 1 1
direct
0.500 0.000 0.000
0.000 0.000 0.500
0.000 0.500 0.000
0.500 0.500 0.500
0.000 0.000 0.000
```

Results
total magnetic moment	10.6	μB per cell
crystal system	cubic

Short version: model 2 is the most stable of them.

Model 1:
Crystalline Cr2CdH at its relaxed geometry. Source: Alexandria via LeMat-Bulk, functional GGA-PBE.

Cell and atoms, written as POSCAR:
```
Cr2CdH
1.0
-2.065 4.705 0.853
-2.776 -0.423 -4.386
-5.172 0.590 0.125
H Cr Cd
2 4 2
direct
0.250 0.750 0.500
0.500 0.500 0.000
0.875 0.625 0.750
0.375 0.625 0.250
0.375 0.125 0.250
0.375 0.625 0.750
0.000 0.000 0.000
0.750 0.250 0.500
```

Results
total magnetic moment	2.3	μB per cell
crystal system	cubic

Model 2:
Crystalline Cr2CdH at its relaxed geometry. Source: Alexandria via LeMat-Bulk, functional GGA-PBE.

Cell and atoms, written as POSCAR:
```
Cr2CdH
1.0
0.000 3.167 3.167
3.167 0.000 3.167
3.167 3.167 0.000
Cr Cd H
2 1 1
direct
0.750 0.750 0.750
0.250 0.250 0.250
0.500 0.500 0.500
0.000 0.000 0.000
```

Results
total magnetic moment	8.0	μB per cell
crystal system	cubic

Short version: model 1 is the most stable of them.